# 1
{
  "formula": "ScNiAs",
  "functional": "PBE",
  "state": "optimized geometry",
  "ef_ev_per_atom": -0.522,
  "energy_ev_per_atom": -6.110,
  "rho_g_cm3": 5.9,
  "volume_a3_per_atom": 16.7,
  "lattice_angstrom": [[-1.569, 4.249, 0.871], [-2.203, 0.289, 4.042], [4.091, -1.692, -1.297]],
  "species": ["Ni", "Sc", "As"],
  "fractional_positions": [[0.678, 0.678, 0.000], [0.331, 0.331, 0.000], [0.991, 0.991, 0.000]]
}

***

# 2
{
  "formula": "RbVCrTe3",
  "functional": "PBE",
  "state": "optimized geometry",
  "e_form_raw_ev_per_atom": -0.41,
  "energy_ev_per_atom": -5.268,
  "rho_g_cm3": 5.2,
  "volume_a3_per_atom": 30.2,
  "lattice_angstrom": [[-3.911, -0.009, -0.436], [-0.531, -8.353, 4.934], [-0.659, 8.852, 5.734]],
  "species": ["Te", "Te", "Rb", "Te", "V", "Cr", "Te", "Rb", "Te", "V", "Cr", "Te"],
  "fractional_positions": [[0.750, 0.470, 0.131], [0.250, 0.758, 0.448], [0.750, 0.773, 0.750], [0.750, 0.871, 0.147], [0.250, 0.067, 0.584], [0.750, 0.325, 0.842], [0.250, 0.530, 0.869], [0.250, 0.227, 0.250], [0.250, 0.129, 0.853], [0.750, 0.933, 0.416], [0.250, 0.675, 0.158], [0.750, 0.242, 0.552]]
}